The following is a PBE calculation of a geometry-optimized TiNbAs2Br structure, from Alexandria.

abc: 5.001 5.001 5.160
angles: 90.00 90.00 90.00
Fractional coordinates of all 5 atoms:
Ti 0.000 0.000 0.000
Nb 0.500 0.500 0.500
As 0.000 0.500 0.500
As 0.500 0.000 0.500
Br 0.500 0.500 0.000

Computed properties:
The distance to the lowest polymorph of the same formula comes out at 0 meV per atom. As for the space group: P4/mmm. The calculation puts the total magnetic moment at 0.45 μB/atom. Its total energy is -5.37 eV per atom. The energy relative to the elements, uncorrected is 0.42 eV/atom. The calculation puts the theoretical density at 4.768 g cm⁻³.